[1]
{
  "formula": "ZnHg2H",
  "functional": "GGA-PBE",
  "state": "optimized geometry",
  "lattice": [[-2.791, 2.791, 5.606], [2.791, -2.791, 5.606], [2.791, 2.791, -5.606]],
  "species": ["Zn", "Zn", "Hg", "Hg", "Hg", "Hg", "H", "H"],
  "fractional_positions": [[0.000, 0.000, 0.000], [0.750, 0.250, 0.500], [0.203, 0.625, 0.078], [0.375, 0.453, 0.578], [0.547, 0.125, 0.922], [0.875, 0.797, 0.422], [0.250, 0.750, 0.500], [0.500, 0.500, 0.000]],
  "space_group": "I-42d",
  "e_tot_ev_per_atom": -0.974,
  "m_tot_mub_per_fu": 0.00
}

=====

[2]
{
  "formula": "MnCuAu3",
  "functional": "GGA-PBE",
  "state": "optimized geometry",
  "lattice": [[4.756, 0.000, 0.000], [0.000, 4.756, 0.000], [0.000, 0.000, 4.756]],
  "species": ["Mn", "Cu", "Au", "Au", "Au"],
  "fractional_positions": [[0.000, 0.000, 0.000], [0.500, 0.500, 0.500], [0.000, 0.500, 0.500], [0.500, 0.000, 0.500], [0.500, 0.500, 0.000]],
  "space_group": "Pm-3m",
  "e_tot_ev_per_atom": -3.984,
  "m_tot_mub_per_fu": 4.71,
  "delta_e_f_mev_per_atom": 636
}

=====

[3]
{
  "formula": "CsNaTlS",
  "functional": "GGA-PBE",
  "state": "optimized geometry",
  "lattice": [[4.555, 0.000, 0.000], [0.000, 4.555, 0.000], [0.000, 0.000, 14.875]],
  "species": ["Cs", "Cs", "Na", "Na", "Tl", "Tl", "S", "S"],
  "fractional_positions": [[0.250, 0.250, 0.210], [0.750, 0.750, 0.790], [0.250, 0.750, 0.000], [0.750, 0.250, 0.000], [0.250, 0.750, 0.500], [0.750, 0.250, 0.500], [0.250, 0.250, 0.890], [0.750, 0.750, 0.110]],
  "formation_energy_uncorrected_kj_per_mol_fu": -258,
  "space_group": "P4/nmm",
  "e_tot_ev_per_atom": -2.835,
  "m_tot_mub_per_fu": 0.00
}

=====

[4]
{
  "formula": "Cs3GeO",
  "functional": "GGA-PBE",
  "state": "optimized geometry",
  "lattice": [[5.965, 0.000, 0.000], [0.000, 5.965, 0.000], [0.000, 0.000, 5.965]],
  "species": ["Cs", "Cs", "Cs", "Ge", "O"],
  "fractional_positions": [[0.000, 0.000, 0.500], [0.000, 0.500, 0.000], [0.500, 0.000, 0.000], [0.500, 0.500, 0.500], [0.000, 0.000, 0.000]],
  "formation_energy_uncorrected_kj_per_mol_fu": -144,
  "space_group": "Pm-3m",
  "e_tot_ev_per_atom": -2.727,
  "m_tot_mub_per_fu": 3.00
}

=====

[5]
{
  "formula": "Ac2DyTlO6",
  "functional": "GGA-PBE",
  "state": "optimized geometry",
  "lattice": [[6.013, 0.000, 0.000], [0.000, 6.235, 0.000], [-5.928, 0.000, 8.717]],
  "species": ["Ac", "Ac", "Ac", "Ac", "Dy", "Dy", "Tl", "Tl", "O", "O", "O", "O", "O", "O", "O", "O", "O", "O", "O", "O"],
  "fractional_positions": [[0.232, 0.053, 0.248], [0.232, 0.447, 0.748], [0.768, 0.553, 0.252], [0.768, 0.947, 0.752], [0.500, 0.000, 0.000], [0.500, 0.500, 0.500], [0.000, 0.000, 0.500], [0.000, 0.500, 0.000], [0.137, 0.195, 0.939], [0.137, 0.305, 0.439], [0.236, 0.704, 0.933], [0.236, 0.796, 0.433], [0.375, 0.054, 0.755], [0.375, 0.446, 0.255], [0.625, 0.554, 0.745], [0.625, 0.946, 0.245], [0.764, 0.204, 0.567], [0.764, 0.296, 0.067], [0.863, 0.695, 0.561], [0.863, 0.805, 0.061]],
  "formation_energy_uncorrected_kj_per_mol_fu": -2636,
  "space_group": "P2_1/c",
  "e_tot_ev_per_atom": -7.226,
  "m_tot_mub_per_fu": 0.00
}

=====

[6]
{
  "formula": "Sc2CoHg",
  "functional": "GGA-PBE",
  "state": "optimized geometry",
  "lattice": [[3.094, -1.776, 0.000], [3.094, 1.776, 0.000], [-2.034, 0.000, 7.467]],
  "species": ["Sc", "Sc", "Co", "Hg"],
  "fractional_positions": [[0.231, 0.231, 0.193], [0.769, 0.769, 0.807], [0.500, 0.500, 0.000], [0.000, 0.000, 0.500]],
  "space_group": "C2/m",
  "e_tot_ev_per_atom": -5.233,
  "m_tot_mub_per_fu": 0.00,
  "delta_e_f_mev_per_atom": -215
}

=====

[7]
{
  "formula": "MnAl2Tl3S6",
  "functional": "GGA-PBE",
  "state": "optimized geometry",
  "lattice": [[3.072, -5.316, 0.000], [3.072, 5.316, 0.000], [-2.047, 0.000, 7.761]],
  "species": ["Mn", "Al", "Al", "Tl", "Tl", "Tl", "S", "S", "S", "S", "S", "S"],
  "fractional_positions": [[0.000, 0.000, 0.000], [0.333, 0.667, 0.000], [0.667, 0.333, 0.000], [0.166, 0.834, 0.500], [0.500, 0.500, 0.500], [0.834, 0.166, 0.500], [0.056, 0.386, 0.168], [0.274, 0.274, 0.832], [0.386, 0.056, 0.168], [0.614, 0.944, 0.832], [0.726, 0.726, 0.168], [0.944, 0.614, 0.832]],
  "formation_energy_uncorrected_kj_per_mol_fu": -784,
  "space_group": "C2/m",
  "e_tot_ev_per_atom": -4.720,
  "m_tot_mub_per_fu": 3.45
}

=====

[8]
{
  "formula": "Nd7Ho4Sc",
  "functional": "GGA-PBE",
  "state": "optimized geometry",
  "lattice": [[9.234, -2.818, 0.000], [9.234, 2.818, 0.000], [-4.122, 0.000, 7.751]],
  "species": ["Nd", "Nd", "Nd", "Nd", "Nd", "Nd", "Nd", "Ho", "Ho", "Ho", "Ho", "Sc"],
  "fractional_positions": [[0.000, 0.000, 0.000], [0.199, 0.199, 0.647], [0.339, 0.339, 0.099], [0.395, 0.395, 0.578], [0.605, 0.605, 0.422], [0.661, 0.661, 0.901], [0.801, 0.801, 0.353], [0.030, 0.030, 0.699], [0.182, 0.182, 0.218], [0.818, 0.818, 0.782], [0.970, 0.970, 0.301], [0.500, 0.500, 0.000]],
  "space_group": "C2/m",
  "e_tot_ev_per_atom": -4.585,
  "m_tot_mub_per_fu": 0.00,
  "delta_e_f_mev_per_atom": 250
}

=====

[9]
{
  "formula": "NbCuNi",
  "functional": "GGA-PBE",
  "state": "optimized geometry",
  "lattice": [[4.228, 0.000, 0.000], [-2.114, 3.662, 0.000], [0.000, 0.000, 5.270]],
  "species": ["Nb", "Nb", "Cu", "Cu", "Ni", "Ni"],
  "fractional_positions": [[0.000, 0.000, 0.239], [0.000, 0.000, 0.761], [0.333, 0.667, 0.500], [0.667, 0.333, 0.500], [0.333, 0.667, 0.000], [0.667, 0.333, 0.000]],
  "space_group": "P6/mmm",
  "e_tot_ev_per_atom": -6.744,
  "m_tot_mub_per_fu": 0.00,
  "delta_e_f_mev_per_atom": -95
}

=====

[10]
{
  "formula": "CuGeTe",
  "functional": "GGA-PBE",
  "state": "optimized geometry",
  "lattice": [[4.591, -4.543, 0.000], [4.591, 4.543, 0.000], [-3.225, 0.000, 6.558]],
  "species": ["Cu", "Cu", "Cu", "Cu", "Ge", "Ge", "Ge", "Ge", "Te", "Te", "Te", "Te"],
  "fractional_positions": [[0.068, 0.932, 0.500], [0.398, 0.552, 0.012], [0.552, 0.398, 0.512], [0.932, 0.068, 0.000], [0.044, 0.691, 0.913], [0.181, 0.204, 0.366], [0.204, 0.181, 0.866], [0.691, 0.044, 0.413], [0.394, 0.733, 0.404], [0.543, 0.928, 0.992], [0.733, 0.394, 0.904], [0.928, 0.543, 0.492]],
  "formation_energy_uncorrected_kj_per_mol_fu": 25,
  "space_group": "Cc",
  "e_tot_ev_per_atom": -3.866,
  "m_tot_mub_per_fu": 0.00
}

=====

[11]
{
  "formula": "LaYPtI",
  "functional": "GGA-PBE",
  "state": "optimized geometry",
  "lattice": [[2.109, 1.218, 8.115], [-2.109, 1.218, 8.115], [0.000, -2.435, 8.115]],
  "species": ["La", "Y", "Pt", "I"],
  "fractional_positions": [[0.000, 0.000, 0.000], [0.208, 0.208, 0.208], [0.601, 0.601, 0.601], [0.775, 0.775, 0.775]],
  "formation_energy_uncorrected_kj_per_mol_fu": -443,
  "space_group": "R3m",
  "e_tot_ev_per_atom": -5.895,
  "m_tot_mub_per_fu": 0.00
}

=====

[12]
{
  "formula": "YHo4Sc2",
  "functional": "GGA-PBE",
  "state": "optimized geometry",
  "lattice": [[5.983, 0.000, 0.000], [-2.115, 5.601, 0.000], [-1.133, -1.652, 6.357]],
  "species": ["Y", "Ho", "Ho", "Ho", "Ho", "Sc", "Sc"],
  "fractional_positions": [[0.000, 0.000, 0.000], [0.021, 0.590, 0.271], [0.410, 0.979, 0.729], [0.590, 0.021, 0.271], [0.979, 0.410, 0.729], [0.500, 0.500, 0.000], [0.500, 0.500, 0.500]],
  "space_group": "P-1",
  "e_tot_ev_per_atom": -5.148,
  "m_tot_mub_per_fu": 0.00,
  "delta_e_f_mev_per_atom": 200
}

=====

[13]
{
  "formula": "Sm6AlCd",
  "functional": "GGA-PBE",
  "state": "optimized geometry",
  "lattice": [[3.180, -5.935, 0.000], [3.180, 5.935, 0.000], [-0.062, 0.000, 6.430]],
  "species": ["Sm", "Sm", "Sm", "Sm", "Sm", "Sm", "Al", "Cd"],
  "fractional_positions": [[0.059, 0.059, 0.242], [0.118, 0.540, 0.758], [0.460, 0.882, 0.242], [0.540, 0.118, 0.758], [0.882, 0.460, 0.242], [0.941, 0.941, 0.758], [0.500, 0.500, 0.000], [0.500, 0.500, 0.500]],
  "space_group": "C2/m",
  "e_tot_ev_per_atom": -4.105,
  "m_tot_mub_per_fu": 0.00,
  "delta_e_f_mev_per_atom": 17
}

=====

[14]
{
  "formula": "ZrTi2Ru2",
  "functional": "GGA-PBE",
  "state": "optimized geometry",
  "lattice": [[1.567, -8.835, 0.000], [1.567, 8.835, 0.000], [0.000, 0.000, 3.112]],
  "species": ["Zr", "Ti", "Ti", "Ru", "Ru"],
  "fractional_positions": [[0.000, 0.000, 0.000], [0.182, 0.818, 0.000], [0.818, 0.182, 0.000], [0.399, 0.601, 0.500], [0.601, 0.399, 0.500]],
  "space_group": "Cmmm",
  "e_tot_ev_per_atom": -8.880,
  "m_tot_mub_per_fu": 1.27,
  "delta_e_f_mev_per_atom": -302
}

=====

[15]
{
  "formula": "SrZr2Hg",
  "functional": "GGA-PBE",
  "state": "optimized geometry",
  "lattice": [[-2.242, 2.242, 5.149], [2.242, -2.242, 5.149], [2.242, 2.242, -5.149]],
  "species": ["Sr", "Zr", "Zr", "Hg"],
  "fractional_positions": [[0.000, 0.000, 0.000], [0.250, 0.750, 0.500], [0.750, 0.250, 0.500], [0.500, 0.500, 0.000]],
  "space_group": "I4/mmm",
  "e_tot_ev_per_atom": -4.458,
  "m_tot_mub_per_fu": 0.00,
  "delta_e_f_mev_per_atom": 312
}

=====

[16]
{
  "formula": "CsNa2Hf",
  "functional": "GGA-PBE",
  "state": "optimized geometry",
  "lattice": [[0.000, 4.309, 4.309], [4.309, 0.000, 4.309], [4.309, 4.309, 0.000]],
  "species": ["Cs", "Na", "Na", "Hf"],
  "fractional_positions": [[0.000, 0.000, 0.000], [0.250, 0.250, 0.250], [0.750, 0.750, 0.750], [0.500, 0.500, 0.500]],
  "space_group": "Fm-3m",
  "e_tot_ev_per_atom": -2.294,
  "m_tot_mub_per_fu": 2.12,
  "delta_e_f_mev_per_atom": 1067
}

=====

[17]
{
  "formula": "MgCu2Se9",
  "functional": "GGA-PBE",
  "state": "optimized geometry",
  "lattice": [[4.383, -3.770, 0.000], [4.383, 3.770, 0.000], [-0.531, 0.000, 7.947]],
  "species": ["Mg", "Cu", "Cu", "Se", "Se", "Se", "Se", "Se", "Se", "Se", "Se", "Se"],
  "fractional_positions": [[0.000, 0.000, 0.000], [0.281, 0.281, 0.594], [0.719, 0.719, 0.406], [0.000, 0.000, 0.500], [0.155, 0.667, 0.731], [0.298, 0.298, 0.918], [0.333, 0.845, 0.269], [0.342, 0.342, 0.298], [0.658, 0.658, 0.702], [0.667, 0.155, 0.731], [0.702, 0.702, 0.082], [0.845, 0.333, 0.269]],
  "formation_energy_uncorrected_kj_per_mol_fu": -54,
  "space_group": "C2/m",
  "e_tot_ev_per_atom": -3.476,
  "m_tot_mub_per_fu": 0.00
}

=====

[18]
{
  "formula": "Cs2PrGaS4",
  "functional": "GGA-PBE",
  "state": "optimized geometry",
  "lattice": [[5.481, -6.122, 0.000], [5.481, 6.122, 0.000], [-2.520, 0.000, 7.907]],
  "species": ["Cs", "Cs", "Cs", "Cs", "Pr", "Pr", "Ga", "Ga", "S", "S", "S", "S", "S", "S", "S", "S"],
  "fractional_positions": [[0.000, 0.000, 0.000], [0.000, 0.000, 0.500], [0.000, 0.500, 0.000], [0.500, 0.000, 0.500], [0.500, 0.500, 0.000], [0.500, 0.500, 0.500], [0.000, 0.500, 0.500], [0.500, 0.000, 0.000], [0.187, 0.658, 0.426], [0.273, 0.359, 0.677], [0.342, 0.813, 0.074], [0.359, 0.273, 0.177], [0.641, 0.727, 0.823], [0.658, 0.187, 0.926], [0.727, 0.641, 0.323], [0.813, 0.342, 0.574]],
  "formation_energy_uncorrected_kj_per_mol_fu": -868,
  "space_group": "C2/c",
  "e_tot_ev_per_atom": -4.377,
  "m_tot_mub_per_fu": 0.00
}

=====

[19]
{
  "formula": "Pb3Se",
  "functional": "GGA-PBE",
  "state": "optimized geometry",
  "lattice": [[5.215, 3.011, 1.267], [-5.215, 3.011, 1.267], [0.000, -6.021, 1.267]],
  "species": ["Pb", "Pb", "Pb", "Se"],
  "fractional_positions": [[0.000, 0.500, 0.500], [0.500, 0.000, 0.500], [0.500, 0.500, 0.000], [0.000, 0.000, 0.000]],
  "formation_energy_uncorrected_kj_per_mol_fu": -6,
  "space_group": "R-3m",
  "e_tot_ev_per_atom": -3.669,
  "m_tot_mub_per_fu": 0.00
}

=====

[20]
{
  "formula": "HoHfTe3",
  "functional": "GGA-PBE",
  "state": "optimized geometry",
  "lattice": [[9.100, 0.000, 0.000], [0.000, 4.084, 0.000], [0.000, 0.000, 15.070]],
  "species": ["Ho", "Ho", "Ho", "Ho", "Hf", "Hf", "Hf", "Hf", "Te", "Te", "Te", "Te", "Te", "Te", "Te", "Te", "Te", "Te", "Te", "Te"],
  "fractional_positions": [[0.085, 0.250, 0.167], [0.415, 0.750, 0.667], [0.585, 0.250, 0.333], [0.915, 0.750, 0.833], [0.136, 0.750, 0.462], [0.364, 0.250, 0.962], [0.636, 0.750, 0.038], [0.864, 0.250, 0.538], [0.026, 0.750, 0.634], [0.151, 0.750, 0.012], [0.196, 0.250, 0.796], [0.304, 0.750, 0.296], [0.349, 0.250, 0.512], [0.474, 0.250, 0.134], [0.526, 0.750, 0.866], [0.651, 0.750, 0.488], [0.696, 0.250, 0.704], [0.804, 0.750, 0.204], [0.849, 0.250, 0.988], [0.974, 0.250, 0.366]],
  "formation_energy_uncorrected_kj_per_mol_fu": -454,
  "space_group": "Pnma",
  "e_tot_ev_per_atom": -5.731,
  "m_tot_mub_per_fu": 0.00
}